No. 1
Compound: CePm5S8
Source: Alexandria via LeMat-Bulk
Functional: PBE-GGA
Structure: optimized geometry

## Properties
Fermi-level density of states	0.902	states/eV per atom
uncorrected formation energy	-195.2	kJ per mole of atoms
mass density	6.0	Mg/m³
total energy	-6.5021	eV per atom

Cell lengths 8.5165, 8.5165, 8.5641 Å; angles 90.00, 90.00, 90.00 degrees
Last column: nearest neighbours and their distance in Å.
Space group I-4 (No. 82)
Unique sites:
Ce1 0.0000 0.0000 0.0000 (multiplicity 2)  8 S 2.86-3.07
Pm1 0.0000 0.5000 0.7500 (multiplicity 2)  8 S 2.86-3.04
Pm2 0.1172 0.2494 0.3726 (multiplicity 8)  8 S 2.86-3.10
S1 0.0740 0.3236 0.0499 (multiplicity 8)  5 Pm 2.86-3.10, 1 Ce 2.86
S2 0.0749 0.1772 0.6974 (multiplicity 8)  5 Pm 2.86-3.09, 1 Ce 3.07


No. 2
Compound: BeNbSN2
Source: Alexandria via LeMat-Bulk
Functional: PBE-GGA
Structure: optimized geometry

## Properties
Fermi-level density of states	0.528	states/eV per atom
uncorrected formation energy	59.7	kJ per mole of atoms
mass density	4.9	Mg/m³
total energy	-6.2962	eV per atom

Cell lengths 3.5155, 3.5155, 4.3982 Å; angles 90.00, 90.00, 90.00 degrees
Last column: nearest neighbours and their distance in Å.
Space group P4/mmm (No. 123)
Unique sites:
Be1 0.0000 0.0000 0.0000 (multiplicity 1)  4 N 1.76
Nb1 0.5000 0.5000 0.5000 (multiplicity 1)  4 S 2.49
S1 0.0000 0.0000 0.5000 (multiplicity 1)  2 Be 2.20
N1 0.0000 0.5000 0.0000 (multiplicity 2)  2 Be 1.76


No. 3
Compound: Sc2GaPAu
Source: Alexandria via LeMat-Bulk
Functional: PBE-GGA
Structure: optimized geometry

## Properties
Fermi-level density of states	0.579	states/eV per atom
mass density	5.2	Mg/m³
calculated formation energy	42	meV per atom
total energy	-4.8334	eV per atom

Cell lengths 5.1844, 5.1844, 4.6394 Å; angles 90.00, 90.00, 90.00 degrees
Last column: nearest neighbours and their distance in Å.
Space group P4/mmm (No. 123)
Unique sites:
Sc1 0.0000 0.5000 0.0000 (multiplicity 2)  2 Au 2.59
Ga1 0.0000 0.0000 0.5000 (multiplicity 1)  2 Au 2.32
P1 0.5000 0.5000 0.5000 (multiplicity 1)  8 Sc 3.48, 4 Ga 3.67
Au1 0.0000 0.0000 0.0000 (multiplicity 1)  2 Ga 2.32, 4 Sc 2.59


No. 4
Compound: LiNpSnO6
Source: Alexandria via LeMat-Bulk
Functional: PBE-GGA
Structure: optimized geometry

## Properties
uncorrected formation energy	-191.5	kJ per mole of atoms
mass density	6.2	Mg/m³
total energy	-7.3852	eV per atom

Cell lengths 5.4599, 5.4599, 9.4743 Å; angles 90.00, 90.00, 120.00 degrees
Last column: nearest neighbours and their distance in Å.
Space group P-31c (No. 163)
Unique sites:
Li1 0.0000 0.0000 0.0000 (multiplicity 2)  6 O 2.32
Np1 0.3333 0.6667 0.2500 (multiplicity 2)  6 O 2.04
Sn1 0.3333 0.6667 0.7500 (multiplicity 2)  6 O 2.10
O1 0.0082 0.3587 0.1354 (multiplicity 12)  1 Np 2.04, 1 Sn 2.10


No. 5
Compound: KGaCuCl2
Source: Alexandria via LeMat-Bulk
Functional: PBE-GGA
Structure: optimized geometry

## Properties
Fermi-level density of states	0.592	states/eV per atom
uncorrected formation energy	-11.1	kJ per mole of atoms
mass density	1.8	Mg/m³
total energy	-2.4983	eV per atom

Cell lengths 4.9351, 4.9351, 9.0374 Å; angles 90.00, 90.00, 90.00 degrees
Last column: nearest neighbours and their distance in Å.
Space group P4/mmm (No. 123)
Unique sites:
K1 0.0000 0.0000 0.0000 (multiplicity 1)  4 Cu 3.49
Ga1 0.0000 0.0000 0.5000 (multiplicity 1)  4 Cl 2.47
Cu1 0.5000 0.5000 0.0000 (multiplicity 1)  4 K 3.49
Cl1 0.0000 0.5000 0.5000 (multiplicity 2)  2 Ga 2.47


No. 6
Compound: AlAu3
Source: Alexandria via LeMat-Bulk
Functional: PBE-GGA
Structure: optimized geometry

## Properties
Fermi-level density of states	0.276	states/eV per atom
mass density	14.5	Mg/m³
calculated formation energy	-210	meV per atom
total energy	-3.6038	eV per atom

Cell lengths 10.5217, 10.5217, 5.0974 Å; angles 90.00, 90.00, 90.00 degrees
Last column: nearest neighbours and their distance in Å.
Space group I-4 (No. 82)
Unique sites:
Al1 0.0494 0.2127 0.2081 (multiplicity 8)  9 Au 2.63-2.76
Au1 0.0323 0.1363 0.7144 (multiplicity 8)  4 Al 2.65-2.76, 2 Au 2.95-2.96
Au2 0.0651 0.6186 0.5142 (multiplicity 8)  2 Al 2.65-2.70, 3 Au 2.85-2.96
Au3 0.1699 0.7222 0.0017 (multiplicity 8)  3 Al 2.63-2.67, 1 Au 2.93


No. 7
Compound: NaAc2Zn
Source: Alexandria via LeMat-Bulk
Functional: PBE-GGA
Structure: optimized geometry

## Properties
Fermi-level density of states	1.142	states/eV per atom
mass density	6.7	Mg/m³
calculated formation energy	32	meV per atom
total energy	-2.6709	eV per atom

Cell lengths 5.7086, 5.7086, 4.1560 Å; angles 90.00, 90.00, 90.00 degrees
Last column: nearest neighbours and their distance in Å.
Space group P4/mmm (No. 123)
Unique sites:
Na1 0.0000 0.0000 0.0000 (multiplicity 1)  8 Ac 3.53
Ac1 0.0000 0.5000 0.5000 (multiplicity 2)  4 Na 3.53, 4 Zn 3.53
Zn1 0.5000 0.5000 0.0000 (multiplicity 1)  8 Ac 3.53


No. 8
Compound: CeCu2Pt5
Source: Alexandria via LeMat-Bulk
Functional: PBE-GGA
Structure: optimized geometry

## Properties
Fermi-level density of states	0.950	states/eV per atom
mass density	15.2	Mg/m³
calculated formation energy	-376	meV per atom
total energy	-5.9175	eV per atom

Cell lengths 3.8256, 7.4537, 9.5343 Å; angles 90.00, 90.00, 90.00 degrees
Last column: nearest neighbours and their distance in Å.
Space group Immm (No. 71)
Unique sites:
Ce1 0.0000 0.0000 0.0000 (multiplicity 2)  4 Cu 2.95
Cu1 0.0000 0.5000 0.2647 (multiplicity 4)  7 Pt 2.45-2.64
Pt1 0.0000 0.1915 0.3532 (multiplicity 8)  3 Cu 2.45-2.64
Pt2 0.0000 0.5000 0.0000 (multiplicity 2)  2 Cu 2.52, 8 Pt 2.77


No. 9
Compound: ReIrBr2
Source: Alexandria via LeMat-Bulk
Functional: PBE-GGA
Structure: optimized geometry

## Properties
Fermi-level density of states	0.413	states/eV per atom
uncorrected formation energy	138.2	kJ per mole of atoms
mass density	12.2	Mg/m³
total energy	-4.7317	eV per atom

Cell lengths 6.6343, 6.6343, 6.6343 Å; angles 90.00, 90.00, 90.00 degrees
Last column: nearest neighbours and their distance in Å.
Space group F-43m (No. 216)
Unique sites:
Re1 0.0000 0.0000 0.0000 (multiplicity 4)  4 Br 2.87, 4 Ir 2.87
Ir1 0.2500 0.2500 0.2500 (multiplicity 4)  4 Re 2.87, 4 Br 2.87
Br1 0.0000 0.0000 0.5000 (multiplicity 4)  4 Br 2.87, 4 Ir 2.87
Br2 0.2500 0.2500 0.7500 (multiplicity 4)  4 Re 2.87, 4 Br 2.87


No. 10
Compound: BaHf2AgBi
Source: Alexandria via LeMat-Bulk
Functional: PBE-GGA
Structure: optimized geometry

## Properties
Fermi-level density of states	0.841	states/eV per atom
mass density	7.5	Mg/m³
calculated formation energy	1971	meV per atom
total energy	-3.7411	eV per atom

Cell lengths 5.4063, 5.4063, 6.1162 Å; angles 90.00, 90.00, 90.00 degrees
Last column: nearest neighbours and their distance in Å.
Space group P4/mmm (No. 123)
Unique sites:
Ba1 0.0000 0.0000 0.0000 (multiplicity 1)  4 Hf 2.70
Hf1 0.0000 0.5000 0.0000 (multiplicity 2)  2 Ba 2.70
Ag1 0.5000 0.5000 0.5000 (multiplicity 1)  4 Bi 3.82, 8 Hf 4.08
Bi1 0.0000 0.0000 0.5000 (multiplicity 1)  2 Ba 3.06


No. 11
Compound: PaZnHg2O8
Source: Alexandria via LeMat-Bulk
Functional: PBE-GGA
Structure: optimized geometry

## Properties
Fermi-level density of states	0.494	states/eV per atom
uncorrected formation energy	-81.4	kJ per mole of atoms
mass density	7.6	Mg/m³
total energy	-5.0965	eV per atom

Cell lengths 7.1614, 7.1614, 7.0320 Å; angles 90.00, 90.00, 90.00 degrees
Last column: nearest neighbours and their distance in Å.
Space group I-4m2 (No. 119)
Unique sites:
Pa1 0.0000 0.0000 0.0000 (multiplicity 2)  8 O 2.26-2.27
Zn1 0.0000 0.5000 0.7500 (multiplicity 2)  8 O 2.18-2.24
Hg1 0.0000 0.0000 0.5000 (multiplicity 2)  4 O 2.17
Hg2 0.0000 0.5000 0.2500 (multiplicity 2)  4 O 2.21
O1 0.0000 0.1878 0.7424 (multiplicity 8)  1 O 2.02, 1 Hg 2.17, 1 Zn 2.24, 1 Pa 2.26
O2 0.0000 0.3164 0.9976 (multiplicity 8)  1 O 2.02, 1 Zn 2.18, 1 Hg 2.21


No. 12
Compound: GaCo4W
Source: Alexandria via LeMat-Bulk
Functional: PBE-GGA
Structure: optimized geometry

## Properties
Fermi-level density of states	1.453	states/eV per atom
mass density	11.4	Mg/m³
calculated formation energy	54	meV per atom
total energy	-7.3466	eV per atom

Cell lengths 6.5865, 6.5865, 6.5865 Å; angles 90.00, 90.00, 90.00 degrees
Last column: nearest neighbours and their distance in Å.
Space group F-43m (No. 216)
Unique sites:
Ga1 0.0000 0.0000 0.0000 (multiplicity 4)  12 Co 2.73, 4 W 2.85
Co1 0.1255 0.1255 0.6255 (multiplicity 16)  6 Co 2.32-2.34
W1 0.2500 0.2500 0.2500 (multiplicity 4)  12 Co 2.73, 4 Ga 2.85